Record 1
VASP calculation (GGA-PBE) on a geometry-optimized KHf3Sb structure. Values from VASP.

Cell and atoms, written as Quantum ESPRESSO input:
```
&SYSTEM
  ibrav = 0, nat = 5, ntyp = 3
/
ATOMIC_SPECIES
K 39.10 K.upf
Hf 178.49 Hf.upf
Sb 121.76 Sb.upf
CELL_PARAMETERS angstrom
4.9643 0.0000 0.0000
0.0000 4.9643 0.0000
0.0000 0.0000 4.9643
ATOMIC_POSITIONS angstrom
K 0.0000 0.0000 0.0000
Hf 0.0000 0.0000 2.4821
Hf 0.0000 2.4821 0.0000
Hf 2.4821 0.0000 0.0000
Sb 2.4821 2.4821 2.4821
```

The space group is Pm-3m. The magnetic moment comes out at 0.98 μB/cell. The calculated total energy comes out at -24.97 eV/f.u. As for the formation energy (no corrections): 2.021 eV per atom. The density of states at the Fermi level comes out at 6.920 states/eV/cell. The calculation puts the distance to the lowest polymorph of the same formula at 946.9 meV per atom.

Record 2
VASP calculation (GGA-PBE) on a geometry-optimized ScTiAlCd structure. Values from VASP.

Cell and atoms, written as Quantum ESPRESSO input:
```
&SYSTEM
  ibrav = 0, nat = 4, ntyp = 4
/
ATOMIC_SPECIES
Sc 44.96 Sc.upf
Ti 47.87 Ti.upf
Al 26.98 Al.upf
Cd 112.41 Cd.upf
CELL_PARAMETERS angstrom
0.0000 3.3659 3.3659
3.3659 0.0000 3.3659
3.3659 3.3659 0.0000
ATOMIC_POSITIONS angstrom
Sc 0.0000 0.0000 0.0000
Ti 3.3659 3.3659 3.3659
Al 5.0488 5.0488 5.0488
Cd 1.6829 1.6829 1.6829
```

The space group is F-43m. The magnetic moment comes out at 0.00 μB/cell. The calculated total energy comes out at -19.65 eV/f.u. The value obtained for the formation energy from the elements is -0.19 eV/atom. The density of states at the Fermi level comes out at 2.734 states/eV/cell.

Record 3
VASP calculation (GGA-PBE) on a geometry-optimized Tl3ReBr structure. Values from VASP.

Cell and atoms, written as Quantum ESPRESSO input:
```
&SYSTEM
  ibrav = 0, nat = 5, ntyp = 3
/
ATOMIC_SPECIES
Tl 204.38 Tl.upf
Re 186.21 Re.upf
Br 79.90 Br.upf
CELL_PARAMETERS angstrom
5.9700 0.0000 0.0000
0.0000 5.9700 0.0000
0.0000 0.0000 5.9700
ATOMIC_POSITIONS angstrom
Tl 0.0000 0.0000 2.9850
Tl 0.0000 2.9850 0.0000
Tl 2.9850 0.0000 0.0000
Re 2.9850 2.9850 2.9850
Br 0.0000 0.0000 0.0000
```

The space group is Pm-3m. The magnetic moment comes out at 3.98 μB/cell. The calculated total energy comes out at -14.61 eV/f.u. As for the formation energy (no corrections): 1.323 eV per atom. The density of states at the Fermi level comes out at 3.558 states/eV/cell. The calculation puts the distance to the lowest polymorph of the same formula at 902.5 meV per atom.

Record 4
VASP calculation (GGA-PBE) on a geometry-optimized MgTa2RuSe structure. Values from VASP.

Cell and atoms, written as Quantum ESPRESSO input:
```
&SYSTEM
  ibrav = 0, nat = 5, ntyp = 4
/
ATOMIC_SPECIES
Mg 24.30 Mg.upf
Ta 180.95 Ta.upf
Ru 101.07 Ru.upf
Se 78.96 Se.upf
CELL_PARAMETERS angstrom
4.8439 0.0000 0.0000
0.0000 4.8439 0.0000
0.0000 0.0000 4.3758
ATOMIC_POSITIONS angstrom
Mg 0.0000 0.0000 0.0000
Ta 0.0000 2.4220 0.0000
Ta 2.4220 0.0000 0.0000
Ru 0.0000 0.0000 2.1879
Se 2.4220 2.4220 2.1879
```

The space group is P4/mmm. The magnetic moment comes out at 0.00 μB/cell. The calculated total energy comes out at -28.72 eV/f.u. As for the formation energy (no corrections): 1.867 eV per atom. The density of states at the Fermi level comes out at 7.477 states/eV/cell.

Record 5
VASP calculation (GGA-PBE) on a geometry-optimized KLiMn2 structure. Values from VASP.

Cell and atoms, written as Quantum ESPRESSO input:
```
&SYSTEM
  ibrav = 0, nat = 4, ntyp = 3
/
ATOMIC_SPECIES
K 39.10 K.upf
Li 6.94 Li.upf
Mn 54.94 Mn.upf
CELL_PARAMETERS angstrom
1.4514 0.8380 10.6221
-1.4514 0.8380 10.6221
0.0000 -1.6759 10.6221
ATOMIC_POSITIONS angstrom
K 0.0000 0.0000 0.0000
Li 0.0000 0.0000 15.9331
Mn 0.0000 0.0000 7.5827
Mn 0.0000 0.0000 24.2835
```

The space group is R-3m. The magnetic moment comes out at 6.69 μB/cell. The calculated total energy comes out at -17.77 eV/f.u. The value obtained for the formation energy from the elements is 0.89 eV/atom. The density of states at the Fermi level comes out at 3.791 states/eV/cell. The calculation puts the distance to the lowest polymorph of the same formula at 232.7 meV per atom.

Record 6
VASP calculation (GGA-PBE) on a geometry-optimized AlTlTeO6 structure. Values from VASP.

Cell and atoms, written as Quantum ESPRESSO input:
```
&SYSTEM
  ibrav = 0, nat = 18, ntyp = 4
/
ATOMIC_SPECIES
Al 26.98 Al.upf
Tl 204.38 Tl.upf
Te 127.60 Te.upf
O 16.00 O.upf
CELL_PARAMETERS angstrom
5.1194 0.0000 0.0000
-2.5597 4.4335 0.0000
0.0000 0.0000 9.6013
ATOMIC_POSITIONS angstrom
Al 0.0000 2.9557 2.4003
Al 2.5597 1.4778 7.2010
Tl 0.0000 0.0000 0.0000
Tl 0.0000 0.0000 4.8006
Te 0.0000 2.9557 7.2010
Te 2.5597 1.4778 2.4003
O -0.9278 1.6461 1.3451
O -1.5980 2.8070 3.4555
O 0.9278 1.6461 3.4555
O -0.6702 4.4139 1.3451
O 1.8895 0.0196 6.1458
O 0.9617 1.6265 8.2562
O 1.5980 2.8070 1.3451
O 0.6702 4.4139 3.4555
O 3.2300 0.0196 8.2562
O 1.6320 2.7874 6.1458
O 4.1577 1.6265 6.1458
O 3.4875 2.7874 8.2562
```

The space group is P-31c. The magnetic moment comes out at 0.00 μB/cell. The calculated total energy comes out at -52.34 eV/f.u. As for the formation energy (no corrections): -1.482 eV per atom.

Record 7
VASP calculation (GGA-PBE) on a geometry-optimized Rb2HfAlSe4 structure. Values from VASP.

Cell and atoms, written as Quantum ESPRESSO input:
```
&SYSTEM
  ibrav = 0, nat = 16, ntyp = 4
/
ATOMIC_SPECIES
Rb 85.47 Rb.upf
Hf 178.49 Hf.upf
Al 26.98 Al.upf
Se 78.96 Se.upf
CELL_PARAMETERS angstrom
0.0000 7.1769 12.4653
3.3074 0.0000 12.4653
3.3074 7.1769 0.0000
ATOMIC_POSITIONS angstrom
Rb 2.4805 5.3827 1.3484
Rb 4.1342 8.9712 7.5811
Rb 2.4805 5.3827 17.3495
Rb 4.1342 8.9712 23.5821
Hf 0.8268 1.7942 3.1163
Hf 5.7879 12.5596 21.8142
Al 2.4805 5.3827 9.3489
Al 4.1342 8.9712 15.5816
Se 2.5443 3.1574 4.4081
Se 4.0704 6.7458 10.6407
Se 2.4167 7.6081 4.4081
Se 2.4167 3.1574 14.2898
Se 4.1980 11.1965 10.6407
Se 4.1980 6.7458 20.5225
Se 2.5443 7.6081 14.2898
Se 4.0704 11.1965 20.5225
```

The space group is Fddd. The magnetic moment comes out at 0.00 μB/cell. The calculated total energy comes out at -38.28 eV/f.u. As for the formation energy (no corrections): -1.089 eV per atom. The density of states at the Fermi level comes out at 5.015 states/eV/cell.

Record 8
VASP calculation (GGA-PBE) on a geometry-optimized SrAuS2O8 structure. Values from VASP.

Cell and atoms, written as Quantum ESPRESSO input:
```
&SYSTEM
  ibrav = 0, nat = 12, ntyp = 4
/
ATOMIC_SPECIES
Sr 87.62 Sr.upf
Au 196.97 Au.upf
S 32.06 S.upf
O 16.00 O.upf
CELL_PARAMETERS angstrom
2.4807 1.4322 7.6097
-2.4807 1.4322 7.6097
0.0000 -2.8645 7.6097
ATOMIC_POSITIONS angstrom
Sr 0.0000 0.0000 0.0000
Au 0.0000 0.0000 11.4146
S 0.0000 0.0000 5.7945
S 0.0000 0.0000 17.0347
O -1.0616 -1.4950 9.8877
O -0.7639 -1.6668 12.9415
O 0.0000 0.0000 7.2914
O -0.7639 1.6668 9.8877
O -1.0616 1.4950 12.9415
O 0.0000 0.0000 15.5378
O 1.8255 -0.1718 9.8877
O 1.8255 0.1718 12.9415
```

The space group is R32. The magnetic moment comes out at 1.05 μB/cell. The calculated total energy comes out at -69.53 eV/f.u. As for the formation energy (no corrections): -1.388 eV per atom. The density of states at the Fermi level comes out at 5.458 states/eV/cell.